(1)
DFT (PBE) results for ScAlAsH2 after structural relaxation.

```
ScAlAsH2
1.0
3.7325 0.0000 0.0000
0.0000 3.7325 0.0000
0.0000 0.0000 5.3415
Sc Al As H
1 1 1 2
Direct
0.0000 0.0000 0.0000
0.5000 0.5000 0.5000
0.5000 0.5000 0.0000
0.0000 0.5000 0.5000
0.5000 0.0000 0.5000
```

Results
* symmetry: P4/mmm
* size of the total moment: 0.000 μB per cell



(2)
DFT (PBE) results for BaSeI2 after structural relaxation.

```
BaSeI2
1.0
-2.7554 2.7554 11.0070
2.7554 -2.7554 11.0070
2.7554 2.7554 -11.0070
Ba Se I
2 2 4
Direct
0.0000 0.0000 0.0000
0.7500 0.2500 0.5000
0.2500 0.7500 0.5000
0.5000 0.5000 0.0000
0.1493 0.6250 0.0243
0.3750 0.3993 0.5243
0.6007 0.1250 0.9757
0.8750 0.8507 0.4757
```

Results
* symmetry: I-42d
* energy relative to the elements, uncorrected: -0.79 eV/atom
* size of the total moment: 0.000 μB per cell



(3)
DFT (PBE) results for AcNdSmSn after structural relaxation.

```
AcNdSmSn
1.0
0.0000 3.9996 3.9996
3.9996 0.0000 3.9996
3.9996 3.9996 0.0000
Ac Nd Sm Sn
1 1 1 1
Direct
0.0000 0.0000 0.0000
0.7500 0.7500 0.7500
0.2500 0.2500 0.2500
0.5000 0.5000 0.5000
```

Results
* symmetry: F-43m
* size of the total moment: 0.000 μB per cell
* formation enthalpy at 0 K: -83 kJ/mol of formula units



(4)
DFT (PBE) results for Er6Fe2Sn after structural relaxation.

```
Er6Fe2Sn
1.0
-4.7090 4.7631 4.9580
4.7090 -4.7631 4.9580
4.7090 4.7631 -4.9580
Er Fe Sn
12 4 2
Direct
0.0147 0.2313 0.7834
0.1878 0.2870 0.4748
0.1878 0.7130 0.9008
0.3135 0.0146 0.7011
0.3135 0.6124 0.2989
0.4479 0.2313 0.2166
0.5521 0.7687 0.7834
0.6865 0.3876 0.7011
0.6865 0.9854 0.2989
0.8122 0.2870 0.0992
0.8122 0.7130 0.5252
0.9853 0.7687 0.2166
0.1090 0.6090 0.5000
0.3857 0.0000 0.3857
0.6143 0.0000 0.6143
0.8910 0.3910 0.5000
0.0000 0.0000 0.0000
0.5000 0.5000 0.0000
```

Results
* symmetry: Immm
* size of the total moment: 2.826 μB per cell
* formation enthalpy at 0 K: -217 kJ/mol of formula units



(5)
DFT (PBE) results for Li2NbPbC after structural relaxation.

```
Li2NbPbC
1.0
4.7279 0.0000 0.0000
0.0000 4.7279 0.0000
0.0000 0.0000 4.4477
Li Nb Pb C
2 1 1 1
Direct
0.0000 0.5000 0.0000
0.5000 0.0000 0.0000
0.0000 0.0000 0.5000
0.5000 0.5000 0.0000
0.5000 0.5000 0.5000
```

Results
* symmetry: P4/mmm
* size of the total moment: 0.185 μB per cell
* formation enthalpy at 0 K: 902 kJ/mol of formula units



(6)
DFT (PBE) results for KDy2Er3Te6 after structural relaxation.

```
KDy2Er3Te6
1.0
9.6390 -2.1730 0.0000
9.6390 2.1730 0.0000
-2.1957 0.0000 8.6889
K Dy Er Te
1 2 3 6
Direct
0.0000 0.0000 0.0000
0.3288 0.3288 0.6526
0.6712 0.6712 0.3474
0.0000 0.0000 0.5000
0.3387 0.3387 0.1786
0.6613 0.6613 0.8214
0.1643 0.1643 0.5862
0.1751 0.1751 0.0855
0.4967 0.4967 0.7323
0.5033 0.5033 0.2677
0.8249 0.8249 0.9145
0.8357 0.8357 0.4138
```

Results
* symmetry: C2/m
* energy relative to the elements, uncorrected: -1.26 eV/atom
* size of the total moment: 0.002 μB per cell



no.,ρ (g cm⁻³),uncorrected energy (eV/atom)
1,3.32,-4.49
2,4.67,-2.91
3,8.31,-4.61
4,9.21,-5.62
5,5.44,-3.50
6,7.44,-4.83